Compound: Rb3FeO3
Source: Alexandria via LeMat-Bulk
Functional: PBE+U
Structure: relaxed

Calculated values
Excess energy over the best structure of this formula in the dataset   0.21 eV per formula unit

Cell: 6.918 14.440 6.710 Å, 90.00 118.97 90.00°
Space group P2_1/c (No. 14)
Unique sites:
Rb  0.000  0.080  0.190 x4
Rb  0.442  0.000  0.721 x4
Rb  0.499  0.250  0.277 x4
Fe  0.001  0.678  0.745 x4
O  0.001  0.730  0.020 x4
O  0.258  0.108  0.927 x4
O  0.260  0.608  0.831 x4